First-principles (PBE) data for crystalline Dy2Ga3Ni4Rh at its relaxed geometry, as listed in Alexandria via LeMat-Bulk.

Calculated values
* size of the total moment: 0.000 μB/atom
* ΔH_f (0 K): -52.74 kJ per mole of atoms
* SG: No. 115

Unit cell a=3.8294 b=3.8294 c=10.9809 alpha=90.00 beta=90.00 gamma=90.00
Fractional positions:
Dy1 0.0000 0.5000 0.2393
Dy2 0.5000 0.0000 0.7607
Ga1 0.0000 0.0000 0.0000
Ga2 0.0000 0.5000 0.6312
Ga3 0.5000 0.0000 0.3688
Ni1 0.0000 0.0000 0.5000
Ni2 0.0000 0.5000 0.8484
Ni3 0.5000 0.0000 0.1516
Ni4 0.5000 0.5000 0.5000
Rh1 0.5000 0.5000 0.0000